1.
First-principles (PBE) data for an optimized crystal structure of PrMg2Zr, as listed in Alexandria.

Structure (POSCAR):
```
PrMg2Zr
1.0
0.000 3.706 3.706
3.706 0.000 3.706
3.706 3.706 0.000
Pr Mg Zr
1 2 1
direct
0.000 0.000 0.000 Pr
0.250 0.250 0.250 Mg
0.750 0.750 0.750 Mg
0.500 0.500 0.500 Zr
```

Calculated values
Energy relative to the lowest polymorph listed for this composition: 28 meV/atom
Energy: -16.3 eV for the cell shown
Calculated formation energy: 57.2 meV/atom
Volume: 25.45 Å³/atom

2.
First-principles (PBE) data for an optimized crystal structure of PrMgZr, as listed in Alexandria.

Structure (POSCAR):
```
PrMgZr
1.0
-1.700 1.700 7.015
1.700 -1.700 7.015
1.700 1.700 -7.015
Pr Mg Zr
1 1 1
direct
0.000 0.000 0.000 Pr
0.683 0.683 0.000 Mg
0.329 0.329 0.000 Zr
```

Calculated values
Energy relative to the lowest polymorph listed for this composition: 0 meV/atom
Energy: -14.7 eV for the cell shown
Calculated formation energy: 65.9 meV/atom
Volume: 27.04 Å³/atom